Here is a geometry-optimized Cs3ClF6 structure from Alexandria via LeMat-Bulk. Energies are from PBE.

Values from the calculation:
Its excess energy over the best structure of this formula in the dataset is 56 meV/atom. The total energy is -69.01 eV per cell.

abc: 6.5088 6.5088 12.2427
angles: 90.00 90.00 90.00
Space group I4/mmm (No. 139)
Symmetry-distinct sites (fractional):
Cs  0.0000  0.0000  0.0000 x2
Cs  0.0000  0.5000  0.2500 x4
Cl  0.0000  0.0000  0.5000 x2
F  0.0000  0.0000  0.2310 x4
F  0.1982  0.1982  0.5000 x8

---

Here is a geometry-optimized SrAl2 structure from Alexandria via LeMat-Bulk. Energies are from PBE.

Values from the calculation:
For the formation energy from the elements, the calculation gives -0.2 eV per formula unit. The total energy is -18.68 eV per cell.

abc: 3.5811 3.5811 11.8670
angles: 90.00 90.00 90.00
Space group I4/mmm (No. 139)
Symmetry-distinct sites (fractional):
Sr  0.0000  0.0000  0.0000 x2
Al  0.0000  0.0000  0.3021 x4